TcSbTe2W | Alexandria via LeMat-Bulk | GGA-PBE | optimized geometry; SG = No. 123; E_form (uncorrected) = 1.383 eV/atom; relative energy among the computed polymorphs = 0 meV per atom
1.0
5.265 0.000 0.000
0.000 5.265 0.000
0.000 0.000 5.328
Sb Te Tc W
1 2 1 1
Direct
0.000 0.000 0.500 Sb
0.000 0.500 0.000 Te
0.500 0.000 0.000 Te
0.500 0.500 0.500 Tc
0.000 0.000 0.000 W

TcSb2TeW | Alexandria via LeMat-Bulk | GGA-PBE | optimized geometry; SG = No. 123; E_form (uncorrected) = 1.395 eV/atom; relative energy among the computed polymorphs = 0 meV per atom
1.0
-0.310 2.035 4.857
1.690 -4.569 2.022
4.937 1.658 -0.379
Sb Te Tc W
2 1 1 1
Direct
0.000 0.500 0.000 Sb
0.500 0.000 0.000 Sb
0.000 0.000 0.500 Te
0.500 0.500 0.500 Tc
0.000 0.000 0.000 W

YTcSbTe2 | Alexandria via LeMat-Bulk | GGA-PBE | optimized geometry; SG = No. 123; E_form (uncorrected) = 0.124 eV/atom; relative energy among the computed polymorphs = 0 meV per atom
1.0
-0.340 1.609 5.175
1.191 -5.036 1.644
4.831 1.131 -0.034
Y Sb Te Tc
1 1 2 1
Direct
0.500 0.500 0.500 Y
0.000 0.000 0.500 Sb
0.000 0.500 0.000 Te
0.500 0.000 0.000 Te
0.000 0.000 0.000 Tc

YTcSbTe2 | Alexandria via LeMat-Bulk | GGA-PBE | optimized geometry; SG = No. 123; E_form (uncorrected) = 0.835 eV/atom; relative energy among the computed polymorphs = 711 meV per atom
1.0
-1.519 5.550 -0.150
-2.483 -0.819 -5.128
-5.034 -1.306 2.646
Y Sb Te Tc
1 1 2 1
Direct
0.000 0.000 0.000 Y
0.000 0.000 0.500 Sb
0.000 0.500 0.000 Te
0.500 0.000 0.000 Te
0.500 0.500 0.500 Tc

ZnTcSbTe2 | Alexandria via LeMat-Bulk | GGA-PBE | optimized geometry; SG = No. 123; E_form (uncorrected) = 0.557 eV/atom; relative energy among the computed polymorphs = 0 meV per atom
1.0
-1.179 -4.288 2.846
4.060 1.019 3.218
-3.102 2.852 3.011
Sb Zn Te Tc
1 1 2 1
Direct
0.000 0.000 0.500 Sb
0.500 0.500 0.500 Zn
0.000 0.500 0.000 Te
0.500 0.000 0.000 Te
0.000 0.000 0.000 Tc

ZnTc2SbTe | Alexandria via LeMat-Bulk | GGA-PBE | optimized geometry; SG = No. 123; E_form (uncorrected) = 1.650 eV/atom
1.0
-3.235 -1.772 -3.437
-3.448 -1.955 4.253
-2.452 4.405 0.037
Sb Zn Te Tc
1 1 1 2
Direct
0.000 0.000 0.000 Sb
0.500 0.500 0.500 Zn
0.000 0.500 0.000 Te
0.000 0.000 0.500 Tc
0.500 0.000 0.000 Tc

ZnTcSbTe2 | Alexandria via LeMat-Bulk | GGA-PBE | optimized geometry; SG = No. 123; E_form (uncorrected) = 1.122 eV/atom; relative energy among the computed polymorphs = 565 meV per atom
1.0
5.299 0.000 0.000
0.000 5.299 0.000
0.000 0.000 5.107
Sb Zn Te Tc
1 1 2 1
Direct
0.000 0.000 0.500 Sb
0.000 0.000 0.000 Zn
0.000 0.500 0.000 Te
0.500 0.000 0.000 Te
0.500 0.500 0.500 Tc

ZrTcSbTe2 | Alexandria via LeMat-Bulk | GGA-PBE | optimized geometry; SG = No. 123; E_form (uncorrected) = 0.635 eV/atom; relative energy among the computed polymorphs = 0 meV per atom
1.0
5.241 0.000 0.000
0.000 5.042 0.000
0.000 0.000 5.241
Sb Te Tc Zr
1 2 1 1
Direct
0.000 0.500 0.000 Sb
0.000 0.000 0.500 Te
0.500 0.000 0.000 Te
0.000 0.000 0.000 Tc
0.500 0.500 0.500 Zr

Th8Tc3Sb2 | Alexandria via LeMat-Bulk | GGA-PBE | optimized geometry; SG = No. 12; E_form (uncorrected) = -0.157 eV/atom
1.0
-1.830 -3.955 -5.473
-5.000 -4.266 4.754
-2.734 8.301 -2.348
Th Tc Sb
8 3 2
Direct
0.896 0.595 0.190 Th
0.104 0.405 0.810 Th
0.896 0.101 0.202 Th
0.104 0.899 0.798 Th
0.604 0.651 0.796 Th
0.604 0.146 0.796 Th
0.396 0.854 0.204 Th
0.396 0.349 0.204 Th
0.500 0.000 0.000 Tc
0.000 0.253 0.000 Tc
0.000 0.747 0.000 Tc
0.336 0.252 0.503 Sb
0.664 0.748 0.497 Sb

Th7Tc2Sb2 | Alexandria via LeMat-Bulk | GGA-PBE | optimized geometry; SG = No. 65; E_form (uncorrected) = -0.191 eV/atom; relative energy among the computed polymorphs = 192 meV per atom
1.0
6.976 -0.002 -0.527
0.005 7.057 0.001
-0.961 -0.004 6.930
Th Tc Sb
7 2 2
Direct
0.000 0.256 0.500 Th
0.500 0.744 0.000 Th
0.000 0.744 0.500 Th
0.500 0.256 0.000 Th
0.000 0.000 0.000 Th
0.500 0.759 0.500 Th
0.500 0.241 0.500 Th
0.750 0.000 0.250 Tc
0.250 0.000 0.750 Tc
0.815 0.500 0.815 Sb
0.185 0.500 0.185 Sb

Th7Tc2Sb2 | Alexandria via LeMat-Bulk | GGA-PBE | optimized geometry; SG = No. 44; E_form (uncorrected) = -0.383 eV/atom; relative energy among the computed polymorphs = 0 meV per atom
1.0
3.911 0.000 0.839
1.019 8.381 4.788
-0.036 -0.041 9.706
Th Tc Sb
7 2 2
Direct
0.819 0.081 0.280 Th
0.850 0.417 0.883 Th
0.500 0.025 0.975 Th
0.633 0.470 0.265 Th
0.367 0.735 0.530 Th
0.181 0.720 0.919 Th
0.150 0.117 0.583 Th
0.730 0.859 0.682 Tc
0.270 0.318 0.141 Tc
0.000 0.756 0.244 Sb
0.500 0.355 0.645 Sb

Th2TcSb | Alexandria via LeMat-Bulk | GGA-PBE | optimized geometry; SG = No. 13; E_form (uncorrected) = -0.275 eV/atom; relative energy among the computed polymorphs = 112 meV per atom
1.0
-4.656 3.095 2.659
0.770 -3.313 5.204
7.820 8.507 3.792
Th Tc Sb
8 4 4
Direct
0.795 0.008 0.888 Th
0.205 0.992 0.112 Th
0.795 0.492 0.612 Th
0.205 0.508 0.388 Th
0.765 0.462 0.149 Th
0.235 0.538 0.851 Th
0.765 0.038 0.351 Th
0.235 0.962 0.649 Th
0.235 0.491 0.627 Tc
0.765 0.509 0.373 Tc
0.235 0.009 0.873 Tc
0.765 0.991 0.127 Tc
0.265 0.007 0.380 Sb
0.735 0.993 0.620 Sb
0.265 0.493 0.120 Sb
0.735 0.507 0.880 Sb